[1]
# PBE La7Ho2Tm2, relaxed
data_La7Ho2Tm2
_chemical_formula_sum 'La14 Ho4 Tm4'
_cell_length_a 6.725
_cell_length_b 12.123
_cell_length_c 9.813
_cell_angle_alpha 90.00
_cell_angle_beta 90.00
_cell_angle_gamma 90.00
_symmetry_space_group_name_H-M 'C m m m'
_symmetry_Int_Tables_number 65
_symmetry_space_group_name_Hall '-C 2 2'
loop_
_atom_site_label
_atom_site_type_symbol
_atom_site_fract_x
_atom_site_fract_y
_atom_site_fract_z
La1 La 0.000 0.000 0.000
La2 La 0.000 0.500 0.176
La3 La 0.250 0.250 0.318
Ho1 Ho 0.000 0.268 0.000
Tm1 Tm 0.248 0.500 0.500
# distance to the lowest polymorph of the same formula: 135 meV per atom
# total magnetization: 0.00 μB per formula unit
# DOS at the Fermi energy: 1.613 states/eV/atom
# DFT total energy: -0.32912 Ry/atom

[2]
# PBE LaHoTm4, relaxed
data_LaHoTm4
_chemical_formula_sum 'La4 Ho4 Tm16'
_cell_length_a 8.805
_cell_length_b 14.638
_cell_length_c 6.380
_cell_angle_alpha 90.00
_cell_angle_beta 108.96
_cell_angle_gamma 90.00
_symmetry_space_group_name_H-M 'C 1 2/c 1'
_symmetry_Int_Tables_number 15
loop_
_symmetry_equiv_pos_as_xyz
'x,y,z'
'-x,-y,-z'
'-x,y,-z+1/2'
'x,-y,z+1/2'
'x+1/2,y+1/2,z'
'-x+1/2,-y+1/2,-z'
'-x+1/2,y+1/2,-z+1/2'
'x+1/2,-y+1/2,z+1/2'
loop_
_atom_site_label
_atom_site_type_symbol
_atom_site_fract_x
_atom_site_fract_y
_atom_site_fract_z
La1 La 0.000 0.082 0.250
Ho1 Ho 0.000 0.498 0.750
Tm1 Tm 0.094 0.305 0.532
Tm2 Tm 0.209 0.135 0.882
# distance to the lowest polymorph of the same formula: 0 meV per atom
# total magnetization: 0.00 μB per formula unit
# DOS at the Fermi energy: 1.731 states/eV/atom
# DFT total energy: -0.32503 Ry/atom

[3]
# PBE La6Ho5Tm2, relaxed
data_La6Ho5Tm2
_chemical_formula_sum 'La12 Ho10 Tm4'
_cell_length_a 11.717
_cell_length_b 20.892
_cell_length_c 3.631
_cell_angle_alpha 90.00
_cell_angle_beta 90.00
_cell_angle_gamma 90.00
_symmetry_space_group_name_H-M 'P b a m'
_symmetry_Int_Tables_number 55
loop_
_symmetry_equiv_pos_as_xyz
'x,y,z'
'-x,-y,-z'
'-x,-y,z'
'x,y,-z'
'x+1/2,-y+1/2,-z'
'-x+1/2,y+1/2,z'
'-x+1/2,y+1/2,-z'
'x+1/2,-y+1/2,z'
loop_
_atom_site_label
_atom_site_type_symbol
_atom_site_fract_x
_atom_site_fract_y
_atom_site_fract_z
La1 La 0.061 0.081 0.000
La2 La 0.083 0.367 0.000
La3 La 0.171 0.637 0.500
Ho1 Ho 0.000 0.500 0.500
Ho2 Ho 0.095 0.228 0.500
Ho3 Ho 0.198 0.942 0.500
Tm1 Tm 0.163 0.792 0.000
# total magnetization: 0.00 μB per formula unit
# DOS at the Fermi energy: 1.356 states/eV/atom
# DFT total energy: -0.33866 Ry/atom

[4]
# PBE La7Ho4Tm, relaxed
data_La7Ho4Tm
_chemical_formula_sum 'La7 Ho4 Tm1'
_cell_length_a 6.391
_cell_length_b 7.329
_cell_length_c 9.075
_cell_angle_alpha 89.98
_cell_angle_beta 76.41
_cell_angle_gamma 89.97
_symmetry_space_group_name_H-M 'P -1'
_symmetry_Int_Tables_number 2
loop_
_symmetry_equiv_pos_as_xyz
'x,y,z'
'-x,-y,-z'
loop_
_atom_site_label
_atom_site_type_symbol
_atom_site_fract_x
_atom_site_fract_y
_atom_site_fract_z
La1 La 0.000 0.000 0.000
La2 La 0.226 0.000 0.334
La3 La 0.280 0.253 0.666
La4 La 0.500 0.257 0.002
Ho1 Ho 0.216 0.499 0.335
Ho2 Ho 0.276 0.742 0.669
Tm1 Tm 0.000 0.500 0.000
# distance to the lowest polymorph of the same formula: 0 meV per atom
# total magnetization: 0.00 μB per formula unit
# DOS at the Fermi energy: 1.462 states/eV/atom
# DFT total energy: -0.34973 Ry/atom